SmBeZn2Ru2 PBE-GGA optimized geometry; total magnetic moment = 0.0003 μB per atom; energy relative to the elements = -0.151 eV per atom; SG = P4/mmm, No. 123
1.0
4.320 0.000 0.000
0.000 4.320 0.000
0.000 0.000 5.398
Ru Be Zn Sm
2 1 2 1
direct
0.000 0.500 0.000 Ru
0.500 0.000 0.000 Ru
0.000 0.000 0.000 Be
0.500 0.500 0.736 Zn
0.500 0.500 0.264 Zn
0.000 0.000 0.500 Sm

Be2SnRu PBE-GGA optimized geometry; total magnetic moment = 0.0000 μB per atom; energy relative to the elements = 0.394 eV per atom; SG = I-42d, No. 122
1.0
-3.568 1.479 -0.536
-1.475 -3.607 -0.135
-3.668 -0.898 7.757
Sn Be Ru
2 4 2
direct
0.000 0.000 0.000 Sn
0.750 0.250 0.500 Sn
0.274 0.625 0.250 Be
0.375 0.524 0.750 Be
0.476 0.125 0.250 Be
0.875 0.726 0.750 Be
0.500 0.500 0.000 Ru
0.250 0.750 0.500 Ru

BeSn2Ru2 PBE-GGA optimized geometry; total magnetic moment = 0.0000 μB per atom; energy relative to the elements = 0.329 eV per atom; SG = P4/mbm, No. 127
1.0
7.473 0.000 0.000
0.000 7.473 0.000
0.000 0.000 3.107
Sn Be Ru
4 2 4
direct
0.849 0.651 0.000 Sn
0.651 0.151 0.000 Sn
0.349 0.849 0.000 Sn
0.151 0.349 0.000 Sn
0.500 0.500 0.000 Be
0.000 0.000 0.000 Be
0.648 0.852 0.500 Ru
0.352 0.148 0.500 Ru
0.148 0.648 0.500 Ru
0.852 0.352 0.500 Ru

Please write out number 1 again, unchanged.
SmBeZn2Ru2 PBE-GGA optimized geometry; total magnetic moment = 0.0003 μB per atom; energy relative to the elements = -0.151 eV per atom; SG = P4/mmm, No. 123
1.0
4.320 0.000 0.000
0.000 4.320 0.000
0.000 0.000 5.398
Ru Be Zn Sm
2 1 2 1
direct
0.000 0.500 0.000 Ru
0.500 0.000 0.000 Ru
0.000 0.000 0.000 Be
0.500 0.500 0.736 Zn
0.500 0.500 0.264 Zn
0.000 0.000 0.500 Sm

> Which of these has the highest energy relative to the elements?

Be2SnRu

Please write out number 3 again, unchanged.
BeSn2Ru2 PBE-GGA optimized geometry; total magnetic moment = 0.0000 μB per atom; energy relative to the elements = 0.329 eV per atom; SG = P4/mbm, No. 127
1.0
7.473 0.000 0.000
0.000 7.473 0.000
0.000 0.000 3.107
Sn Be Ru
4 2 4
direct
0.849 0.651 0.000 Sn
0.651 0.151 0.000 Sn
0.349 0.849 0.000 Sn
0.151 0.349 0.000 Sn
0.500 0.500 0.000 Be
0.000 0.000 0.000 Be
0.648 0.852 0.500 Ru
0.352 0.148 0.500 Ru
0.148 0.648 0.500 Ru
0.852 0.352 0.500 Ru